1.
VASP calculation (PBE) on a relaxed NdAlPd crystal.

Unit cell a=7.1696 b=4.3671 c=12.3099 alpha=90.00 beta=92.18 gamma=90.00
With the nearest neighbours (Å) after each atom.
Sites, in units of the cell vectors:
Nd (0.0270, 0.2500, 0.3728)  5 Pd 2.98-3.18, 2 Al 3.27
Nd (0.1514, 0.2500, 0.0810)  5 Pd 3.01-3.21, 3 Al 3.29-3.30
Nd (0.4706, 0.7500, 0.7082)  5 Pd 2.85-3.07, 1 Al 3.16
Nd (0.5294, 0.2500, 0.2918)  5 Pd 2.85-3.07, 1 Al 3.16
Nd (0.8486, 0.7500, 0.9190)  5 Pd 3.01-3.21, 3 Al 3.29-3.30
Nd (0.9730, 0.7500, 0.6272)  5 Pd 2.98-3.18, 2 Al 3.27
Al (0.1474, 0.2500, 0.8007)  4 Pd 2.70-3.00, 1 Al 2.89
Al (0.3558, 0.7500, 0.4580)  4 Pd 2.67-2.74
Al (0.4958, 0.7500, 0.0823)  4 Pd 2.60-2.77, 1 Al 2.89
Al (0.5042, 0.2500, 0.9177)  4 Pd 2.60-2.77, 1 Al 2.89
Al (0.6442, 0.2500, 0.5420)  4 Pd 2.67-2.74
Al (0.8526, 0.7500, 0.1993)  4 Pd 2.70-3.00, 1 Al 2.89
Pd (0.2362, 0.7500, 0.2437)  3 Al 2.74-2.78, 2 Nd 3.01
Pd (0.2771, 0.2500, 0.5718)  3 Al 2.67, 1 Nd 2.98
Pd (0.2802, 0.7500, 0.9074)  5 Al 2.60-2.71, 1 Nd 2.85
Pd (0.7198, 0.2500, 0.0926)  5 Al 2.60-2.71, 1 Nd 2.85
Pd (0.7229, 0.7500, 0.4282)  3 Al 2.67, 1 Nd 2.98
Pd (0.7638, 0.2500, 0.7563)  3 Al 2.74-2.78, 2 Nd 3.01

Output
* space-group type: No. 11
* magnetization: 0.00 μB per formula unit
* density of states at the Fermi level: 1.528 states/eV/f.u.
* formation energy from the elements: -2.38 eV/f.u.

***

2.
VASP calculation (PBE) on a relaxed Ca2HgBr crystal.

Unit cell a=5.5975 b=5.5975 c=3.6097 alpha=90.10 beta=90.10 gamma=89.77
With the nearest neighbours (Å) after each atom.
Sites, in units of the cell vectors:
Ca (0.0000, 0.5000, 0.0000)  4 Hg 3.33, 4 Br 3.33, 2 Ca 3.61
Ca (0.5000, 0.0000, 0.0000)  4 Hg 3.33, 4 Br 3.33, 2 Ca 3.61
Hg (0.0000, 0.0000, 0.5000)  8 Ca 3.33, 2 Hg 3.61
Br (0.5000, 0.5000, 0.5000)  8 Ca 3.33, 2 Br 3.61

Output
* space-group type: No. 12
* energy above the most stable polymorph in this dataset: 136 meV per atom
* formation energy from raw total energies: -0.81 eV per atom
* magnetization: 0.00 μB per formula unit
* density of states at the Fermi level: 2.862 states/eV/f.u.

***

Q: What is the magnetization in the first record?
A: 0.00 μB per formula unit

***

Q: Look up the density of states at the Fermi level of the first one.
A: 1.528 states/eV/f.u.

***

Q: Number 2 is which compound?
A: Ca2HgBr